[1]
Entry from Alexandria: ZrAlN2O after structural relaxation (PBE-GGA).

For the uncorrected formation energy, the calculation gives -94 meV per atom. As for the energy: -6.8734 eV/atom.

Cell lengths 4.2480, 4.2480, 4.0466 Å; angles 90.00, 90.00, 90.00 degrees
With the nearest neighbours (Å) after each atom.
Fractional coordinates of all 5 atoms:
Zr1 0.0000 0.0000 0.0000  2 O 2.02, 4 N 2.12
Al1 0.5000 0.5000 0.5000  8 N 2.93, 4 O 3.00
N1 0.0000 0.5000 0.0000  2 Zr 2.12
N2 0.5000 0.0000 0.0000  2 Zr 2.12
O1 0.0000 0.0000 0.5000  2 Zr 2.02

---

[2]
Entry from Alexandria: Mg6Al2Ag after structural relaxation (PBE-GGA).

For the formation energy, the calculation gives -59.3 meV/atom. As for the energy: -2.2708 eV/atom. For the energy above the most stable polymorph in this dataset, the calculation gives 0.000 eV/atom.

Cell lengths 8.2450, 8.2450, 3.1125 Å; angles 90.00, 90.00, 120.00 degrees
With the nearest neighbours (Å) after each atom.
Fractional coordinates of all 9 atoms:
Mg1 0.0000 0.3719 0.0000  4 Al 3.03, 1 Ag 3.07, 8 Mg 3.11-3.20
Mg2 0.0000 0.7109 0.5000  2 Ag 2.85, 2 Al 2.95, 2 Mg 3.11
Mg3 0.2891 0.2891 0.5000  2 Ag 2.85, 2 Al 2.95, 2 Mg 3.11
Mg4 0.3719 0.0000 0.0000  4 Al 3.03, 1 Ag 3.07, 8 Mg 3.11-3.20
Mg5 0.6281 0.6281 0.0000  4 Al 3.03, 1 Ag 3.07, 8 Mg 3.11-3.20
Mg6 0.7109 0.0000 0.5000  2 Ag 2.85, 2 Al 2.95, 2 Mg 3.11
Al1 0.3333 0.6667 0.5000  9 Mg 2.95-3.03, 2 Al 3.11
Al2 0.6667 0.3333 0.5000  9 Mg 2.95-3.03, 2 Al 3.11
Ag1 0.0000 0.0000 0.0000  9 Mg 2.85-3.07, 2 Ag 3.11

---

[3]
Entry from Alexandria: FeCoP2S after structural relaxation (PBE-GGA).

For the uncorrected formation energy, the calculation gives 759 meV per atom. As for the energy: -5.3442 eV/atom. For the energy above the most stable polymorph in this dataset, the calculation gives 0.028 eV/atom.

Cell lengths 4.1289, 4.1289, 4.9707 Å; angles 90.00, 90.00, 90.00 degrees
With the nearest neighbours (Å) after each atom.
Fractional coordinates of all 5 atoms:
Fe1 0.0000 0.0000 0.0000  4 P 2.06
Co1 0.5000 0.5000 0.5000  4 S 2.92, 8 P 3.23
P1 0.0000 0.5000 0.0000  2 Fe 2.06
P2 0.5000 0.0000 0.0000  2 Fe 2.06
S1 0.0000 0.0000 0.5000  2 Fe 2.49

---

> Among the records above, which one has the lowest energy?

ZrAlN2O

---

> Among the records above, which one has the highest energy?

Mg6Al2Ag

---

> Among the records above, which one has the highest energy?

Mg6Al2Ag

---

What did the first record say?
Entry from Alexandria: ZrAlN2O after structural relaxation (PBE-GGA).

For the uncorrected formation energy, the calculation gives -94 meV per atom. As for the energy: -6.8734 eV/atom.

Cell lengths 4.2480, 4.2480, 4.0466 Å; angles 90.00, 90.00, 90.00 degrees
With the nearest neighbours (Å) after each atom.
Fractional coordinates of all 5 atoms:
Zr1 0.0000 0.0000 0.0000  2 O 2.02, 4 N 2.12
Al1 0.5000 0.5000 0.5000  8 N 2.93, 4 O 3.00
N1 0.0000 0.5000 0.0000  2 Zr 2.12
N2 0.5000 0.0000 0.0000  2 Zr 2.12
O1 0.0000 0.0000 0.5000  2 Zr 2.02